No. 1
Here is LiCu2Pt after structural relaxation from Alexandria. Energies are from GGA-PBE.

abc: 4.074 2.634 5.049
angles: 74.48 90.00 90.00
Positions (direct):
Cu 0.000 0.432 0.492
Cu 0.000 0.068 0.008
Li 0.500 0.250 0.250
Pt 0.500 0.750 0.750

Calculated values
Distance to the lowest polymorph of the same formula: 0.073 eV/atom
Calculated formation energy: -4.70 kcal/mol of atoms


No. 2
Here is Gd6Pb after structural relaxation from Alexandria. Energies are from GGA-PBE.

abc: 7.177 7.177 7.177
angles: 109.47 109.47 109.47
Last column: magnetic moment on the atom in μB.
Positions (direct):
Gd 0.250 0.500 0.750  7.29
Gd 0.500 0.250 0.750  7.29
Gd 0.250 0.750 0.500  7.29
Gd 0.500 0.750 0.250  7.29
Gd 0.750 0.250 0.500  7.29
Gd 0.750 0.500 0.250  7.29
Pb 0.000 0.000 0.000  -0.12

Calculated values
Calculated formation energy: 33.27 kcal/mol of atoms


No. 3
Here is BaNaV after structural relaxation from Alexandria. Energies are from GGA-PBE.

abc: 4.078 6.095 17.703
angles: 90.00 90.00 90.00
Positions (direct):
V 0.263 0.750 0.770
V 0.237 0.250 0.270
V 0.737 0.250 0.230
V 0.763 0.750 0.730
Ba 0.266 0.250 0.079
Ba 0.234 0.750 0.579
Ba 0.766 0.250 0.421
Ba 0.734 0.750 0.921
Na 0.640 0.250 0.679
Na 0.860 0.750 0.179
Na 0.140 0.250 0.821
Na 0.360 0.750 0.321

Calculated values
Distance to the lowest polymorph of the same formula: 0.201 eV/atom
Calculated formation energy: 15.84 kcal/mol of atoms


No. 4
Here is MgTlMoAu2 after structural relaxation from Alexandria. Energies are from GGA-PBE.

abc: 5.228 5.364 5.228
angles: 90.00 90.00 90.00
Last column: magnetic moment on the atom in μB.
Positions (direct):
Mg 0.500 0.500 0.500  -0.05
Mo 0.000 0.500 0.000  3.08
Tl 0.000 0.000 0.000  -0.02
Au 0.000 0.000 0.500  -0.02
Au 0.500 0.000 0.000  0.00

Calculated values
Calculated formation energy: 28.29 kcal/mol of atoms


No. 5
Here is GaNi2As after structural relaxation from Alexandria. Energies are from GGA-PBE.

abc: 4.209 4.209 4.209
angles: 60.00 60.00 60.00
Positions (direct):
Ni 0.250 0.250 0.250
Ni 0.750 0.750 0.750
As 0.500 0.500 0.500
Ga 0.000 0.000 0.000

Calculated values
Distance to the lowest polymorph of the same formula: 0.235 eV/atom
Calculated formation energy: -2.47 kcal/mol of atoms


No. 6
Here is Ca3PuS4 after structural relaxation from Alexandria. Energies are from GGA-PBE.

abc: 4.014 4.014 11.460
angles: 90.00 90.00 90.00
Last column: magnetic moment on the atom in μB.
Positions (direct):
Pu 0.000 0.000 0.000  5.44
Ca 0.500 0.500 0.749  0.03
Ca 0.000 0.000 0.500  0.01
Ca 0.500 0.500 0.251  0.03
S 0.000 0.000 0.250  -0.02
S 0.500 0.500 0.500  0.00
S 0.000 0.000 0.750  -0.02
S 0.500 0.500 0.000  -0.10

Calculated values
Uncorrected formation energy: -2020 meV/atom
Distance to the lowest polymorph of the same formula: 0.000 eV/atom


No. 7
Here is SmCd11Pb after structural relaxation from Alexandria. Energies are from GGA-PBE.

abc: 6.454 7.688 7.738
angles: 79.80 65.35 64.86
Positions (direct):
Cd 0.000 0.000 0.500
Cd 0.980 0.653 0.356
Cd 0.020 0.347 0.644
Cd 0.482 0.209 0.784
Cd 0.518 0.791 0.216
Cd 0.734 0.791 0.784
Cd 0.500 0.000 0.500
Cd 0.000 0.500 0.000
Cd 0.337 0.653 0.644
Cd 0.663 0.347 0.356
Cd 0.266 0.209 0.216
Pb 0.500 0.500 0.000
Sm 0.000 0.000 0.000

Calculated values
Calculated formation energy: -0.97 kcal/mol of atoms


No. 8
Here is Na3SnCl6 after structural relaxation from Alexandria. Energies are from GGA-PBE.

abc: 6.897 7.328 10.313
angles: 90.00 89.32 90.00
Last column: magnetic moment on the atom in μB.
Positions (direct):
Cl 0.325 0.800 0.417  0.06
Cl 0.175 0.300 0.083  0.06
Cl 0.856 0.933 0.236  0.06
Cl 0.189 0.317 0.433  0.06
Cl 0.825 0.700 0.917  0.06
Cl 0.811 0.683 0.567  0.06
Cl 0.144 0.067 0.764  0.06
Cl 0.644 0.433 0.264  0.06
Cl 0.689 0.183 0.933  0.06
Cl 0.675 0.200 0.583  0.06
Cl 0.311 0.817 0.067  0.06
Cl 0.356 0.567 0.736  0.06
Sn 0.500 0.500 0.500  0.22
Sn 0.000 0.000 0.000  0.22
Na 0.030 0.580 0.261  0.00
Na 0.470 0.080 0.239  0.00
Na 0.000 0.000 0.500  0.00
Na 0.970 0.420 0.739  0.00
Na 0.530 0.920 0.761  0.00
Na 0.500 0.500 0.000  0.00

Calculated values
Uncorrected formation energy: -1413 meV/atom
Distance to the lowest polymorph of the same formula: 0.011 eV/atom


| no. | Fermi-level density of states (states/eV per atom) | electronic total energy (eV/atom) |
| --- | --- | --- |
| 1 | 0.39 | -4.241 |
| 2 | 1.62 | -11.156 |
| 3 | 1.44 | -3.433 |
| 4 | 0.62 | -3.042 |
| 5 | 0.56 | -4.917 |
| 6 | 1.00 | -6.626 |
| 7 | 0.34 | -1.465 |
| 8 | 0.49 | -3.316 |